Entry 1:
Compound: InSiAs
Source: Alexandria via LeMat-Bulk
Functional: PBE-GGA
Structure: optimized geometry

The density is 5.44 g/cm³. The calculation puts the magnetization at 0.0 Bohr magnetons per cell. Its raw formation energy is 2.040 kcal/mol of atoms.

The space group is P3m1 (No. 156) and the conventional cell measures 3.7698, 3.7698 and 5.4073 Å, with angles of 90.00, 90.00 and 120.00 degrees. Symmetry generates all atoms from In at (0.0000, 0.0000, 0.0000), Si at (0.6667, 0.3333, 0.3705) and As at (0.3333, 0.6667, 0.5962).

Entry 2:
Compound: Li2CaCd8
Source: Alexandria via LeMat-Bulk
Functional: PBE-GGA
Structure: optimized geometry

The density is 6.46 g/cm³. The calculation puts the magnetization at 0.0 Bohr magnetons per cell. Its formation energy is -0.18 eV per atom.

The space group is C2/m (No. 12) and the conventional cell measures 15.540, 4.687 and 6.971 Å, with angles of 90.00, 105.31 and 90.00 degrees. Symmetry generates all atoms from Li at (0.239, 0.000, 0.153), Ca at (0.000, 0.500, 0.500), Cd at (0.055, 0.000, 0.229), Cd at (0.099, 0.500, 0.980), Cd at (0.138, 0.000, 0.723) and Cd at (0.194, 0.500, 0.406).

Entry 3:
Compound: Sn3HN
Source: Alexandria via LeMat-Bulk
Functional: PBE-GGA
Structure: optimized geometry

For the energy, the calculation gives -3.796 eV/atom. The density is 5.54 g/cm³. The calculation puts the magnetization at 0.0 Bohr magnetons per cell.

The space group is Pm-3m (No. 221) and the conventional cell measures 4.808, 4.808 and 4.808 Å, with angles of 90.00, 90.00 and 90.00 degrees. Symmetry generates all atoms from Sn at (0.000, 0.000, 0.500), H at (0.500, 0.500, 0.500) and N at (0.000, 0.000, 0.000).

Entry 4:
Compound: CdHg13
Source: Alexandria via LeMat-Bulk
Functional: PBE-GGA
Structure: optimized geometry

The density is 9.75 g/cm³. The calculation puts the magnetization at 0.0 Bohr magnetons per cell. Its formation energy is 0.06 eV per atom.

The space group is Fm-3c (No. 226) and the conventional cell measures 15.474, 15.474 and 15.474 Å, with angles of 90.00, 90.00 and 90.00 degrees. Symmetry generates all atoms from Cd at (0.250, 0.250, 0.250), Hg at (0.000, 0.000, 0.000) and Hg at (0.000, 0.120, 0.182).

Entry 5:
Compound: La7Dy2Ho2
Source: Alexandria via LeMat-Bulk
Functional: PBE-GGA
Structure: optimized geometry

The density is 6.98 g/cm³. The calculation puts the magnetization at 0.0 Bohr magnetons per cell. Its formation energy is 0.12 eV per atom.

The space group is C2/m (No. 12) and the conventional cell measures 11.501, 11.645 and 6.211 Å, with angles of 90.00, 111.51 and 90.00 degrees. Symmetry generates all atoms from La at (0.000, 0.000, 0.000), La at (0.075, 0.500, 0.802), La at (0.184, 0.233, 0.183), Dy at (0.000, 0.211, 0.500) and Ho at (0.227, 0.000, 0.588).

Entry 6:
Compound: TmVSn2
Source: Alexandria via LeMat-Bulk
Functional: PBE-GGA
Structure: optimized geometry

The density is 7.30 g/cm³. The calculation puts the magnetization at 10.8 Bohr magnetons per cell. Its formation energy is 0.35 eV per atom.

The space group is R-3m (No. 166, hexagonal axes) and the conventional cell measures 3.3378, 3.3378 and 32.3568 Å, with angles of 90.00, 90.00 and 120.00 degrees. Symmetry generates all atoms from Tm at (0.0000, 0.0000, 0.0000), V at (0.0000, 0.0000, 0.5000) and Sn at (0.0000, 0.0000, 0.4142).

Entry 7:
Compound: Ac2Zn2Ag3
Source: Alexandria via LeMat-Bulk
Functional: PBE-GGA
Structure: optimized geometry

The density is 8.53 g/cm³. The calculation puts the magnetization at 0.0 Bohr magnetons per cell. Its formation energy is -0.27 eV per atom.

The space group is Cmcm (No. 63) and the conventional cell measures 4.468, 20.542 and 7.705 Å, with angles of 90.00, 90.00 and 90.00 degrees. Symmetry generates all atoms from Ac at (0.000, 0.057, 0.250), Ac at (0.000, 0.164, 0.750), Zn at (0.000, 0.314, 0.569), Ag at (0.000, 0.221, 0.250) and Ag at (0.000, 0.437, 0.068).

Entry 8:
Compound: Ba4TmCd5
Source: Alexandria via LeMat-Bulk
Functional: PBE-GGA
Structure: optimized geometry

The density is 6.04 g/cm³. The calculation puts the magnetization at 0.0 Bohr magnetons per cell. Its formation energy is -0.29 eV per atom.

The space group is P4/mmm (No. 123) and the conventional cell measures 4.069, 4.069 and 21.261 Å, with angles of 90.00, 90.00 and 90.00 degrees. Symmetry generates all atoms from Ba at (0.000, 0.000, 0.105), Ba at (0.000, 0.000, 0.316), Tm at (0.000, 0.000, 0.500), Cd at (0.500, 0.500, 0.000), Cd at (0.500, 0.500, 0.210) and Cd at (0.500, 0.500, 0.426).

Entry 9:
Compound: Mn3As4
Source: Alexandria via LeMat-Bulk
Functional: PBE-GGA
Structure: optimized geometry

The density is 6.77 g/cm³. The calculation puts the magnetization at 9.2 Bohr magnetons per cell. Its formation energy is 0.28 eV per atom.

The space group is P6/mmm (No. 191) and the conventional cell measures 5.1754, 5.1754 and 4.9147 Å, with angles of 90.00, 90.00 and 120.00 degrees. Symmetry generates all atoms from Mn at (0.0000, 0.5000, 0.0000), As at (0.0000, 0.0000, 0.2488) and As at (0.3333, 0.6667, 0.5000).

Entry 10:
Compound: TlCdGa2F8
Source: Alexandria via LeMat-Bulk
Functional: PBE-GGA
Structure: optimized geometry

The density is 4.67 g/cm³. The calculation puts the magnetization at 0.0 Bohr magnetons per cell. Its raw formation energy is -50.808 kcal/mol of atoms.

The space group is R-3 (No. 148, hexagonal axes) and the conventional cell measures 5.6419, 5.6419 and 23.5415 Å, with angles of 90.00, 90.00 and 120.00 degrees. Symmetry generates all atoms from Tl at (0.0000, 0.0000, 0.0000), Cd at (0.0000, 0.0000, 0.5000), Ga at (0.0000, 0.0000, 0.2470), F at (0.0000, 0.0000, 0.3240) and F at (0.0102, 0.6940, 0.7750).

Entry 11:
Compound: NbCdSbO6
Source: Alexandria via LeMat-Bulk
Functional: PBE-GGA
Structure: optimized geometry

The density is 5.79 g/cm³. The calculation puts the magnetization at 0.0 Bohr magnetons per cell. Its raw formation energy is -40.549 kcal/mol of atoms.

The space group is P-31c (No. 163) and the conventional cell measures 5.3663, 5.3663 and 9.7378 Å, with angles of 90.00, 90.00 and 120.00 degrees. Symmetry generates all atoms from Nb at (0.3333, 0.6667, 0.2500), Cd at (0.0000, 0.0000, 0.0000), Sb at (0.3333, 0.6667, 0.7500) and O at (0.0019, 0.3687, 0.6385).

Entry 12:
Compound: Cd3NiPb
Source: Alexandria via LeMat-Bulk
Functional: PBE-GGA
Structure: optimized geometry

The density is 8.04 g/cm³. The calculation puts the magnetization at 0.0 Bohr magnetons per cell. Its formation energy is 0.17 eV per atom.

The space group is Pm-3m (No. 221) and the conventional cell measures 4.995, 4.995 and 4.995 Å, with angles of 90.00, 90.00 and 90.00 degrees. Symmetry generates all atoms from Cd at (0.000, 0.000, 0.500), Ni at (0.000, 0.000, 0.000) and Pb at (0.500, 0.500, 0.500).